# TlWC2 | the Alexandria database | PBE-GGA | relaxed
# * E_form: 2.43 eV/atom
# * N(E_F): 0.78 states/eV/atom
# * energy: -6.013 eV per atom
# * energy above the most stable polymorph in this dataset: 1427 meV/atom
# * ρ: 13.72 Mg/m³
data_TlWC2
_cell_length_a 5.844
_cell_length_b 5.844
_cell_length_c 5.844
_cell_angle_alpha 90.00
_cell_angle_beta 90.00
_cell_angle_gamma 90.00
_symmetry_space_group_name_H-M 'F m -3 m'
_symmetry_Int_Tables_number 225
_symmetry_space_group_name_Hall '-F 4 2 3'
loop_
_atom_site_label
_atom_site_fract_x
_atom_site_fract_y
_atom_site_fract_z
Tl1 0.000 0.000 0.000
W1 0.000 0.000 0.500
C1 0.250 0.250 0.250

=====

# TlW2C | the Alexandria database | PBE-GGA | relaxed
# * E_form: 1.97 eV/atom
# * N(E_F): 0.71 states/eV/atom
# * energy: -7.401 eV per atom
# * energy above the most stable polymorph in this dataset: 680 meV/atom
# * ρ: 15.99 Mg/m³
data_TlW2C
_cell_length_a 6.237
_cell_length_b 6.237
_cell_length_c 6.237
_cell_angle_alpha 90.00
_cell_angle_beta 90.00
_cell_angle_gamma 90.00
_symmetry_space_group_name_H-M 'F m -3 m'
_symmetry_Int_Tables_number 225
_symmetry_space_group_name_Hall '-F 4 2 3'
loop_
_atom_site_label
_atom_site_fract_x
_atom_site_fract_y
_atom_site_fract_z
Tl1 0.000 0.000 0.000
W1 0.250 0.250 0.250
C1 0.000 0.000 0.500

=====

# TlWC2 | the Alexandria database | PBE-GGA | relaxed
# * E_form: 1.00 eV/atom
# * N(E_F): 0.54 states/eV/atom
# * energy: -7.440 eV per atom
# * energy above the most stable polymorph in this dataset: 0 meV/atom
# * ρ: 9.76 Mg/m³
data_TlWC2
_cell_length_a 5.437
_cell_length_b 5.437
_cell_length_c 9.494
_cell_angle_alpha 90.00
_cell_angle_beta 90.00
_cell_angle_gamma 90.00
_symmetry_space_group_name_H-M 'I -4 2 d'
_symmetry_Int_Tables_number 122
_symmetry_space_group_name_Hall 'I -4 2bw'
loop_
_atom_site_label
_atom_site_fract_x
_atom_site_fract_y
_atom_site_fract_z
Tl1 0.000 0.000 0.000
W1 0.000 0.000 0.500
C1 0.149 0.250 0.625